Record 1
Compound: ZrTa2Pb
Source: OQMD via LeMat-Bulk
Functional: PBE-GGA
Structure: relaxed

```
ZrTa2Pb
1.0
-3.807 -2.989 0.559
-2.539 0.040 4.158
-4.525 1.805 0.074
Pb Ta Zr
1 2 1
Direct
0.500 0.500 0.500
0.000 0.000 0.000
0.750 0.750 0.750
0.250 0.250 0.250
```

- E_tot: -8.718 eV per atom
- SG: F-43m (216)
- Crystal system: cubic

=====

Record 2
Compound: Tb5Pb4
Source: OQMD via LeMat-Bulk
Functional: PBE-GGA
Structure: relaxed

```
Tb5Pb4
1.0
-0.576 2.726 -7.730
14.444 -5.290 -2.942
-3.150 -7.301 -2.340
Pb Tb
16 20
Direct
0.282 0.043 0.034
0.282 0.457 0.034
0.929 0.250 0.124
0.345 0.750 0.151
0.845 0.750 0.349
0.429 0.250 0.376
0.782 0.043 0.466
0.782 0.457 0.466
0.218 0.543 0.534
0.218 0.957 0.534
0.571 0.750 0.624
0.155 0.250 0.651
0.655 0.250 0.849
0.071 0.750 0.876
0.718 0.543 0.966
0.718 0.957 0.966
0.291 0.250 0.003
0.624 0.120 0.158
0.624 0.380 0.158
0.034 0.600 0.176
0.034 0.900 0.176
0.534 0.600 0.324
0.534 0.900 0.324
0.124 0.120 0.342
0.124 0.380 0.342
0.791 0.250 0.497
0.209 0.750 0.503
0.876 0.620 0.658
0.876 0.880 0.658
0.466 0.100 0.676
0.466 0.400 0.676
0.966 0.100 0.824
0.966 0.400 0.824
0.376 0.620 0.842
0.376 0.880 0.842
0.709 0.750 0.997
```

- E_tot: -4.770 eV per atom
- SG: Pnma (62)
- Crystal system: orthorhombic

=====

Record 3
Compound: TbTePb
Source: OQMD via LeMat-Bulk
Functional: PBE-GGA
Structure: relaxed

```
TbTePb
1.0
0.000 3.680 3.680
3.680 0.000 3.680
3.680 3.680 0.000
Pb Tb Te
1 1 1
Direct
0.250 0.250 0.250
0.750 0.750 0.750
0.000 0.000 0.000
```

- E_tot: -4.151 eV per atom
- SG: F-43m (216)
- Crystal system: cubic

=====

Record 4
Compound: TbTlTe3Pb
Source: OQMD via LeMat-Bulk
Functional: PBE-GGA
Structure: relaxed

```
TbTlTe3Pb
1.0
2.222 -7.832 0.000
2.222 7.832 0.000
0.000 0.000 12.632
Pb Tb Te Tl
2 2 6 2
Direct
0.103 0.897 0.250
0.897 0.103 0.750
0.500 0.500 0.000
0.500 0.500 0.500
0.138 0.862 0.007
0.466 0.534 0.250
0.138 0.862 0.493
0.862 0.138 0.507
0.534 0.466 0.750
0.862 0.138 0.993
0.800 0.200 0.250
0.200 0.800 0.750
```

- E_tot: -4.028 eV per atom
- SG: Cmcm (63)
- Crystal system: orthorhombic

=====

Record 5
Compound: TbTmTe3Pb
Source: OQMD via LeMat-Bulk
Functional: PBE-GGA
Structure: relaxed

```
TbTmTe3Pb
1.0
-7.708 -1.277 1.290
5.991 0.304 -5.169
2.218 -11.474 1.894
Pb Tb Te Tm
2 2 6 2
Direct
0.225 0.775 0.250
0.775 0.225 0.750
0.555 0.445 0.250
0.445 0.555 0.750
0.642 0.358 0.024
0.920 0.080 0.250
0.642 0.358 0.476
0.358 0.642 0.524
0.080 0.920 0.750
0.358 0.642 0.976
0.000 0.000 0.000
0.000 0.000 0.500
```

- E_tot: -4.549 eV per atom
- Excess energy over the best structure of this formula in the dataset: 29 meV/atom
- SG: Cmcm (63)
- Crystal system: orthorhombic

=====

Record 6
Compound: TbTmTe3Pb
Source: OQMD via LeMat-Bulk
Functional: PBE-GGA
Structure: relaxed

```
TbTmTe3Pb
1.0
7.569 2.024 -1.504
-7.635 2.263 0.482
1.534 2.744 11.409
Pb Tb Te Tm
2 2 6 2
Direct
0.703 0.297 0.250
0.297 0.703 0.750
0.500 0.500 0.000
0.500 0.500 0.500
0.141 0.859 0.041
0.407 0.593 0.250
0.141 0.859 0.459
0.859 0.141 0.541
0.593 0.407 0.750
0.859 0.141 0.959
0.035 0.965 0.250
0.965 0.035 0.750
```

- E_tot: -4.578 eV per atom
- Excess energy over the best structure of this formula in the dataset: 0 meV/atom
- SG: Cmcm (63)
- Crystal system: orthorhombic

=====

Record 7
Compound: TbYTe3Pb
Source: OQMD via LeMat-Bulk
Functional: PBE-GGA
Structure: relaxed

```
TbYTe3Pb
1.0
2.192 -7.604 0.000
2.192 7.604 0.000
0.000 0.000 11.907
Pb Tb Te Y
2 2 6 2
Direct
0.223 0.777 0.250
0.777 0.223 0.750
0.553 0.447 0.250
0.447 0.553 0.750
0.644 0.356 0.028
0.918 0.082 0.250
0.644 0.356 0.472
0.356 0.644 0.528
0.082 0.918 0.750
0.356 0.644 0.972
0.000 0.000 0.000
0.000 0.000 0.500
```

- E_tot: -4.911 eV per atom
- SG: Cmcm (63)
- Crystal system: orthorhombic

=====

Record 8
Compound: TbZnTe3Pb
Source: OQMD via LeMat-Bulk
Functional: PBE-GGA
Structure: relaxed

```
TbZnTe3Pb
1.0
2.188 -7.378 0.000
2.188 7.378 0.000
0.000 0.000 11.288
Pb Tb Te Zn
2 2 6 2
Direct
0.284 0.716 0.250
0.716 0.284 0.750
0.500 0.500 0.000
0.500 0.500 0.500
0.857 0.143 0.056
0.589 0.411 0.250
0.857 0.143 0.444
0.143 0.857 0.556
0.411 0.589 0.750
0.143 0.857 0.944
0.972 0.028 0.250
0.028 0.972 0.750
```

- E_tot: -3.850 eV per atom
- SG: Cmcm (63)
- Crystal system: orthorhombic

=====

Record 9
Compound: TbThPb
Source: OQMD via LeMat-Bulk
Functional: PBE-GGA
Structure: relaxed

```
TbThPb
1.0
2.501 -4.632 -0.134
-2.311 -4.298 1.978
-1.680 -3.807 -3.227
Pb Tb Th
1 1 1
Direct
0.000 0.000 0.000
0.250 0.250 0.250
0.750 0.750 0.750
```

- E_tot: -5.233 eV per atom
- SG: F-43m (216)
- Crystal system: cubic

=====

Record 10
Compound: TbTlPb2
Source: OQMD via LeMat-Bulk
Functional: PBE-GGA
Structure: relaxed

```
TbTlPb2
1.0
-1.193 -4.068 2.257
1.492 -2.542 -3.792
4.417 -0.241 1.899
Pb Tb Tl
2 1 1
Direct
0.500 0.000 0.500
0.000 0.500 0.500
0.000 0.000 0.000
0.500 0.500 0.000
```

- E_tot: -3.889 eV per atom
- SG: P4/mmm (123)
- Crystal system: tetragonal

=====

Record 11
Compound: TbTl2Pb
Source: OQMD via LeMat-Bulk
Functional: PBE-GGA
Structure: relaxed

```
TbTl2Pb
1.0
-1.047 4.547 1.007
-1.309 -1.277 4.409
4.488 0.694 1.533
Pb Tb Tl
1 1 2
Direct
0.500 0.500 0.000
0.000 0.000 0.000
0.500 0.000 0.500
0.000 0.500 0.500
```

- E_tot: -3.524 eV per atom
- SG: P4/mmm (123)
- Crystal system: tetragonal

=====

Record 12
Compound: TbTmPb
Source: OQMD via LeMat-Bulk
Functional: PBE-GGA
Structure: relaxed

```
TbTmPb
1.0
0.000 3.632 3.632
3.632 0.000 3.632
3.632 3.632 0.000
Pb Tb Tm
1 1 1
Direct
0.000 0.000 0.000
0.250 0.250 0.250
0.750 0.750 0.750
```

- E_tot: -4.437 eV per atom
- SG: F-43m (216)
- Crystal system: cubic